(1)
Entry from Alexandria: a geometry-optimized LaAsNF2 structure (PBE).

Unit cell a=4.4664 b=4.4664 c=3.9763 alpha=90.00 beta=90.00 gamma=90.00
Space group P4/mmm (No. 123)
One atom of each set of equivalent atoms:
La 0.0000 0.0000 0.0000
As 0.5000 0.5000 0.5000
N 0.5000 0.5000 0.0000
F 0.0000 0.5000 0.5000

Summary:
Formation energy without anion corrections   -1.210 eV/atom
Offset from the most stable computed form   0.057 eV/atom



(2)
Entry from Alexandria: a geometry-optimized BeSb2TeS structure (PBE).

Unit cell a=5.0477 b=5.0477 c=4.6577 alpha=90.00 beta=90.00 gamma=90.00
Space group P4/mmm (No. 123)
One atom of each set of equivalent atoms:
Be 0.0000 0.0000 0.0000
Sb 0.0000 0.5000 0.0000
Te 0.0000 0.0000 0.5000
S 0.5000 0.5000 0.5000

Summary:
Formation energy without anion corrections   0.580 eV/atom
Offset from the most stable computed form   0.000 eV/atom



(3)
Entry from Alexandria: a geometry-optimized YZr2Sc10 structure (PBE).

Unit cell a=6.0621 b=14.1592 c=15.7911 alpha=90.00 beta=90.00 gamma=90.00
Space group Fmmm (No. 69)
One atom of each set of equivalent atoms:
Y 0.0000 0.0000 0.0000
Zr 0.2500 0.2500 0.0000
Sc 0.0000 0.1043 0.3989
Sc 0.0000 0.1845 0.1659
Sc 0.2500 0.0000 0.2500

Summary:
Formation energy   2.91 eV/f.u.



(4)
Entry from Alexandria: a geometry-optimized Zr2BeAg structure (PBE).

Unit cell a=4.0435 b=4.0435 c=8.9668 alpha=90.00 beta=90.00 gamma=90.00
Space group I-4m2 (No. 119)
One atom of each set of equivalent atoms:
Zr 0.0000 0.0000 0.0000
Zr 0.0000 0.5000 0.2500
Be 0.0000 0.0000 0.5000
Ag 0.0000 0.5000 0.7500

Summary:
Formation energy   0.65 eV/f.u.



Number 1: magnetic moment 0.661 μB per formula unit. Number 2: magnetic moment 0.000 μB per formula unit. Number 3: magnetic moment 0.017 μB per formula unit. Number 4: magnetic moment 0.001 μB per formula unit.